Here is an optimized crystal structure of AcScTe2 from Alexandria. Energies are from GGA-PBE.

Computed properties:
ρ: 7.38 g cm⁻³
N(E_F): 0.5552 states/eV/atom
Energy relative to the elements, uncorrected: -4.371 eV/f.u.
Raw total energy: -21.1 eV per cell
Space-group type: Fm-3m (225)
Crystal system: cubic

a = 5.515 Å, b = 5.515 Å, c = 5.515 Å
α = 60.00°, β = 60.00°, γ = 60.00°
Site moments in Bohr magnetons follow the coordinates.
Atoms (fractional coordinates):
Sc1 0.500 0.500 0.500  0.73
Ac1 0.000 0.000 0.000  0.16
Te1 0.250 0.250 0.250  -0.03
Te2 0.750 0.750 0.750  -0.03